The following is a GGA-PBE calculation of an optimized crystal structure of Tl2Ag14Se9, from Alexandria via LeMat-Bulk.

```
data_Tl2Ag14Se9
_chemical_formula_sum 'Tl2 Ag14 Se9'
_cell_length_a 7.7124
_cell_length_b 8.0441
_cell_length_c 10.4700
_cell_angle_alpha 85.67
_cell_angle_beta 89.96
_cell_angle_gamma 66.52
_symmetry_space_group_name_H-M 'P 1'
_symmetry_Int_Tables_number 1
_symmetry_space_group_name_Hall 'P 1'
loop_
_atom_site_label
_atom_site_type_symbol
_atom_site_fract_x
_atom_site_fract_y
_atom_site_fract_z
_atom_site_occupancy
Tl1 Tl 0.0999 0.2046 0.1863 1
Tl2 Tl 0.9001 0.7954 0.8137 1
Ag1 Ag 0.1499 0.7580 0.4057 1
Ag2 Ag 0.1555 0.0323 0.9189 1
Ag3 Ag 0.1878 0.4133 0.5806 1
Ag4 Ag 0.3187 0.4688 0.0388 1
Ag5 Ag 0.4104 0.5249 0.7616 1
Ag6 Ag 0.4519 0.8482 0.5467 1
Ag7 Ag 0.4981 0.8687 0.1089 1
Ag8 Ag 0.5019 0.1313 0.8911 1
Ag9 Ag 0.5481 0.1518 0.4533 1
Ag10 Ag 0.5896 0.4751 0.2384 1
Ag11 Ag 0.6813 0.5312 0.9612 1
Ag12 Ag 0.8122 0.5867 0.4194 1
Ag13 Ag 0.8445 0.9677 0.0811 1
Ag14 Ag 0.8501 0.2420 0.5943 1
Se1 Se 0.1516 0.3968 0.8380 1
Se2 Se 0.1595 0.1485 0.4651 1
Se3 Se 0.2068 0.7762 0.1529 1
Se4 Se 0.4672 0.8284 0.8070 1
Se5 Se 0.5000 0.5000 0.5000 1
Se6 Se 0.5328 0.1716 0.1930 1
Se7 Se 0.7932 0.2238 0.8471 1
Se8 Se 0.8405 0.8515 0.5349 1
Se9 Se 0.8484 0.6032 0.1620 1
```

Properties
The value obtained for the final energy is -3.10 eV per atom. The space group is P-1 (2). The calculation puts the uncorrected formation energy at -1.5 eV per formula unit. As for the crystal system: triclinic.